(1)
Computed, not measured: a relaxed Hf2ZrPb crystal at the PBE level of DFT.

Summary:
The formation energy is -0.026 eV/atom. The density of states at the Fermi level is 5.6 states/eV/f.u. For the uncorrected energy, the calculation gives -8.067 eV per atom. As for the space group: P4/mmm, No. 123. The value obtained for the energy above the most stable polymorph in this dataset is 108 meV/atom. The value obtained for the volume is 91.7 Å³/cell.

abc: 3.7463 3.7463 6.5338
angles: 90.00 90.00 90.00
Atoms (fractional coordinates):
Hf 0.0000 0.0000 0.2445
Hf 0.0000 0.0000 0.7555
Zr 0.5000 0.5000 0.0000
Pb 0.5000 0.5000 0.5000

=====

(2)
Computed, not measured: a relaxed BaAg3Ru crystal at the PBE level of DFT.

Summary:
The formation energy is 0.475 eV/atom. The density of states at the Fermi level is 5.5 states/eV/f.u. For the uncorrected energy, the calculation gives -3.475 eV per atom. As for the space group: Pm-3m, No. 221. The value obtained for the energy above the most stable polymorph in this dataset is 0 meV/atom. The value obtained for the volume is 139.3 Å³/cell.

abc: 5.1842 5.1842 5.1842
angles: 90.00 90.00 90.00
Atoms (fractional coordinates):
Ba 0.0000 0.0000 0.0000
Ag 0.0000 0.5000 0.5000
Ag 0.5000 0.0000 0.5000
Ag 0.5000 0.5000 0.0000
Ru 0.5000 0.5000 0.5000

=====

(3)
Computed, not measured: a relaxed Y2SbCl crystal at the PBE level of DFT.

Summary:
Its formation energy (no corrections) is -1.160 eV/atom. The density of states at the Fermi level is 2.4 states/eV/f.u. For the uncorrected energy, the calculation gives -5.884 eV per atom. As for the space group: C2/m, No. 12. The value obtained for the energy above the most stable polymorph in this dataset is 0 meV/atom. The value obtained for the volume is 105.4 Å³/cell.

abc: 4.3498 4.3498 6.9186
angles: 107.84 107.84 59.36
Atoms (fractional coordinates):
Y 0.2461 0.2461 0.2335
Y 0.7539 0.7539 0.7665
Sb 0.0000 0.0000 0.5000
Cl 0.5000 0.5000 0.0000

=====

(4)
Computed, not measured: a relaxed Sc5CuNi2 crystal at the PBE level of DFT.

Summary:
The formation energy is -0.316 eV/atom. The density of states at the Fermi level is 8.7 states/eV/f.u. For the uncorrected energy, the calculation gives -6.231 eV per atom. As for the space group: I4/mcm, No. 140. The value obtained for the volume is 300.5 Å³/cell.

abc: 7.7662 7.7662 7.7662
angles: 125.32 125.32 81.01
Atoms (fractional coordinates):
Sc 0.0000 0.0000 0.0000
Sc 0.0189 0.5189 0.8215
Sc 0.1974 0.0189 0.5000
Sc 0.3026 0.8026 0.8215
Sc 0.4811 0.3026 0.5000
Sc 0.5000 0.5000 0.0000
Sc 0.5189 0.6974 0.5000
Sc 0.6974 0.1974 0.1785
Sc 0.8026 0.9811 0.5000
Sc 0.9811 0.4811 0.1785
Cu 0.2500 0.2500 0.0000
Cu 0.7500 0.7500 0.0000
Ni 0.1296 0.3704 0.5000
Ni 0.3704 0.8704 0.2408
Ni 0.6296 0.1296 0.7592
Ni 0.8704 0.6296 0.5000

=====

(5)
Computed, not measured: a relaxed Y3InBr crystal at the PBE level of DFT.

Summary:
Its formation energy (no corrections) is -0.256 eV/atom. The density of states at the Fermi level is 5.8 states/eV/f.u. For the uncorrected energy, the calculation gives -5.017 eV per atom. As for the space group: Pm-3m, No. 221. The value obtained for the energy above the most stable polymorph in this dataset is 0 meV/atom. The value obtained for the volume is 150.2 Å³/cell.

abc: 5.3152 5.3152 5.3152
angles: 90.00 90.00 90.00
Atoms (fractional coordinates):
Y 0.0000 0.0000 0.5000
Y 0.0000 0.5000 0.0000
Y 0.5000 0.0000 0.0000
In 0.5000 0.5000 0.5000
Br 0.0000 0.0000 0.0000

=====

(6)
Computed, not measured: a relaxed GaH3I6 crystal at the PBE level of DFT.

Summary:
The density of states at the Fermi level is 0.0 states/eV/f.u. For the uncorrected energy, the calculation gives -2.415 eV per atom. As for the space group: P2_1, No. 4. The value obtained for the volume is 813.3 Å³/cell.

abc: 7.7722 9.1164 11.7117
angles: 90.00 101.45 90.00
Atoms (fractional coordinates):
Ga 0.0927 0.0000 0.2589
Ga 0.9073 0.5000 0.7411
H 0.0944 0.9602 0.5782
H 0.2774 0.5999 0.9909
H 0.3779 0.7380 0.1964
H 0.6221 0.2380 0.8036
H 0.7226 0.0999 0.0091
H 0.9056 0.4602 0.4218
I 0.0327 0.4449 0.9580
I 0.1398 0.4742 0.6161
I 0.2377 0.9742 0.7028
I 0.2959 0.2182 0.2978
I 0.3047 0.7565 0.3285
I 0.4608 0.7056 0.0300
I 0.5392 0.2056 0.9700
I 0.6953 0.2565 0.6715
I 0.7041 0.7182 0.7022
I 0.7623 0.4742 0.2972
I 0.8602 0.9742 0.3839
I 0.9673 0.9449 0.0420